No. 1
DFT (PBE) results for a relaxed structure of Mg6AgAu12.

Output
**M_tot**: 0.0 μB per formula unit
**ΔE_f**: -0.3820 eV/atom

Cell: 7.5898 7.5898 7.5898 Å, 107.09 107.09 107.09°
With the nearest neighbours (Å) after each atom.
Sites, in units of the cell vectors:
Mg 0.7970 0.9125 0.5375  9 Au 2.77-3.04
Mg 0.4625 0.2030 0.0875  9 Au 2.77-3.04
Mg 0.0875 0.4625 0.2030  9 Au 2.77-3.04
Mg 0.2030 0.0875 0.4625  9 Au 2.77-3.04
Mg 0.5375 0.7970 0.9125  9 Au 2.77-3.04
Mg 0.9125 0.5375 0.7970  9 Au 2.77-3.04
Ag 0.0000 0.0000 0.0000  6 Au 2.80
Au 0.8097 0.5202 0.4080  4 Mg 2.77-3.02, 6 Au 2.80-2.97
Au 0.4080 0.8097 0.5202  4 Mg 2.77-3.02, 6 Au 2.80-2.97
Au 0.5202 0.4080 0.8097  4 Mg 2.77-3.02, 6 Au 2.80-2.97
Au 0.1903 0.4798 0.5920  4 Mg 2.77-3.02, 6 Au 2.80-2.97
Au 0.5920 0.1903 0.4798  4 Mg 2.77-3.02, 6 Au 2.80-2.97
Au 0.4798 0.5920 0.1903  4 Mg 2.77-3.02, 6 Au 2.80-2.97
Au 0.8736 0.7311 0.1691  5 Mg 2.78-3.04, 1 Ag 2.80, 5 Au 2.80-3.01
Au 0.2689 0.8309 0.1264  5 Mg 2.78-3.04, 1 Ag 2.80, 5 Au 2.80-3.01
Au 0.8309 0.1264 0.2689  5 Mg 2.78-3.04, 1 Ag 2.80, 5 Au 2.80-3.01
Au 0.1264 0.2689 0.8309  5 Mg 2.78-3.04, 1 Ag 2.80, 5 Au 2.80-3.01
Au 0.7311 0.1691 0.8736  5 Mg 2.78-3.04, 1 Ag 2.80, 5 Au 2.80-3.01
Au 0.1691 0.8736 0.7311  5 Mg 2.78-3.04, 1 Ag 2.80, 5 Au 2.80-3.01

=====

No. 2
DFT (PBE) results for a relaxed structure of La2Al3Hg5.

Output
**M_tot**: 0.0 μB per formula unit
**ΔE_f**: -0.3438 eV/atom

Cell: 6.5047 9.2027 9.2027 Å, 75.87 69.30 69.30°
With the nearest neighbours (Å) after each atom.
Sites, in units of the cell vectors:
La 0.1298 0.6113 0.1292  10 Hg 3.32-3.66, 4 Al 3.47-3.60
La 0.6298 0.1292 0.6113  10 Hg 3.32-3.66, 4 Al 3.47-3.60
La 0.8702 0.3887 0.8708  10 Hg 3.32-3.66, 4 Al 3.47-3.60
La 0.3702 0.8708 0.3887  10 Hg 3.32-3.66, 4 Al 3.47-3.60
Al 0.3708 0.5031 0.7554  5 Hg 2.57-2.74
Al 0.8708 0.7554 0.5031  5 Hg 2.57-2.74
Al 0.6292 0.4969 0.2446  5 Hg 2.57-2.74
Al 0.1292 0.2446 0.4969  5 Hg 2.57-2.74
Al 0.2500 0.0000 0.0000  4 Hg 2.72
Al 0.7500 0.0000 0.0000  4 Hg 2.72
Hg 0.3928 0.2557 0.9586  3 Al 2.57-2.72
Hg 0.8928 0.9586 0.2557  3 Al 2.57-2.72
Hg 0.6072 0.7443 0.0414  3 Al 2.57-2.72
Hg 0.1072 0.0414 0.7443  3 Al 2.57-2.72
Hg 0.4932 0.7568 0.7568  2 Al 2.72, 2 Hg 2.93
Hg 0.5068 0.2432 0.2432  2 Al 2.72, 2 Hg 2.93
Hg 0.7500 0.5000 0.5000  4 Al 2.74
Hg 0.2500 0.5000 0.5000  4 Al 2.74
Hg 0.0068 0.2432 0.2432  2 Al 2.72, 2 Hg 2.93
Hg 0.9932 0.7568 0.7568  2 Al 2.72, 2 Hg 2.93

=====

No. 3
DFT (PBE) results for a relaxed structure of La2Pm3PrY6.

Output
**M_tot**: 0.0 μB per formula unit
**ΔE_f**: 0.0096 eV/atom

Cell: 6.3110 6.3110 11.9130 Å, 95.05 95.05 120.00°
With the nearest neighbours (Å) after each atom.
Sites, in units of the cell vectors:
La 0.3336 0.6664 0.0000  6 Y 3.63, 3 La 3.64-3.65, 3 Pr 3.64-3.65
La 0.6664 0.3336 0.0000  6 Y 3.63, 3 La 3.64-3.65, 3 Pr 3.64-3.65
Pm 0.1666 0.8334 0.5000  6 Y 3.58-3.59, 6 Pm 3.64
Pm 0.8334 0.1666 0.5000  6 Y 3.58-3.59, 6 Pm 3.64
Pm 0.5000 0.5000 0.5000  6 Y 3.59, 6 Pm 3.64
Pr 0.0000 0.0000 0.0000  6 Y 3.63, 6 La 3.64-3.65
Y 0.9158 0.5830 0.7478  3 Pm 3.59, 1 Pr 3.63, 2 La 3.63, 6 Y 3.64-3.65
Y 0.7515 0.7515 0.2524  3 Pm 3.58-3.59, 1 Pr 3.63, 2 La 3.63, 6 Y 3.64-3.65
Y 0.0842 0.4170 0.2522  3 Pm 3.59, 1 Pr 3.63, 2 La 3.63, 6 Y 3.64-3.65
Y 0.5830 0.9158 0.7478  3 Pm 3.59, 1 Pr 3.63, 2 La 3.63, 6 Y 3.64-3.65
Y 0.2485 0.2485 0.7476  3 Pm 3.58-3.59, 1 Pr 3.63, 2 La 3.63, 6 Y 3.64-3.65
Y 0.4170 0.0842 0.2522  3 Pm 3.59, 1 Pr 3.63, 2 La 3.63, 6 Y 3.64-3.65

=====

No. 4
DFT (PBE) results for a relaxed structure of AgTe2.

Output
**M_tot**: 0.0 μB per formula unit
**ΔE_f (raw)**: 0.174 eV/atom

Cell: 4.9678 4.9678 4.9678 Å, 60.00 60.00 60.00°
With the nearest neighbours (Å) after each atom.
Sites, in units of the cell vectors:
Te 0.7500 0.7500 0.7500  4 Ag 3.04
Te 0.2500 0.2500 0.2500  4 Ag 3.04
Ag 0.0000 0.0000 0.0000  8 Te 3.04

=====

No. 5
DFT (PBE) results for a relaxed structure of Zr3GePt.

Output
**M_tot**: 0.0 μB per formula unit
**Energy above the lowest structure with this stoichiometry**: 0 kJ/mol of formula units
**ΔE_f**: 0.1419 eV/atom

Cell: 5.0980 5.0980 5.0980 Å, 90.00 90.00 90.00°
With the nearest neighbours (Å) after each atom.
Sites, in units of the cell vectors:
Ge 0.5000 0.5000 0.5000  12 Zr 3.60
Zr 0.0000 0.5000 0.0000  2 Pt 2.55
Zr 0.0000 0.0000 0.5000  2 Pt 2.55
Zr 0.5000 0.0000 0.0000  2 Pt 2.55
Pt 0.0000 0.0000 0.0000  6 Zr 2.55

=====

No. 6
DFT (PBE) results for a relaxed structure of Y4HoAl5.

Output
**M_tot**: 0.0 μB per formula unit
**ΔE_f**: -0.4121 eV/atom

Cell: 3.5933 3.5933 18.0875 Å, 90.00 90.00 90.00°
With the nearest neighbours (Å) after each atom.
Sites, in units of the cell vectors:
Y 0.0000 0.0000 0.1988  8 Al 3.12
Y 0.0000 0.0000 0.3996  8 Al 3.12
Y 0.0000 0.0000 0.6004  8 Al 3.12
Y 0.0000 0.0000 0.8012  8 Al 3.12
Ho 0.0000 0.0000 0.0000  8 Al 3.10
Al 0.5000 0.5000 0.0984  4 Ho 3.10, 4 Y 3.12
Al 0.5000 0.5000 0.2993  8 Y 3.12
Al 0.5000 0.5000 0.5000  8 Y 3.12
Al 0.5000 0.5000 0.7007  8 Y 3.12
Al 0.5000 0.5000 0.9016  4 Ho 3.10, 4 Y 3.12

=====

No. 7
DFT (PBE) results for a relaxed structure of Ho5Hg2RuRh2.

Output
**M_tot**: 0.0 μB per formula unit
**ΔE_f**: -0.5192 eV/atom

Cell: 3.5176 11.5033 11.5033 Å, 90.00 90.00 90.00°
With the nearest neighbours (Å) after each atom.
Sites, in units of the cell vectors:
Ho 0.5000 0.1917 0.0762  2 Rh 2.76, 2 Ru 2.95
Ho 0.5000 0.8083 0.9238  2 Rh 2.76, 2 Ru 2.95
Ho 0.5000 0.0762 0.8083  2 Rh 2.76, 2 Ru 2.95
Ho 0.5000 0.6917 0.4238  2 Rh 2.76, 2 Ru 2.95
Ho 0.5000 0.9238 0.1917  2 Rh 2.76, 2 Ru 2.95
Ho 0.5000 0.3083 0.5762  2 Rh 2.76, 2 Ru 2.95
Ho 0.5000 0.5762 0.6917  2 Rh 2.76, 2 Ru 2.95
Ho 0.5000 0.4238 0.3083  2 Rh 2.76, 2 Ru 2.95
Ho 0.5000 0.5000 0.0000  4 Rh 2.78
Ho 0.5000 0.0000 0.5000  4 Rh 2.78
Hg 0.0000 0.6742 0.1742  1 Rh 3.15, 6 Ho 3.34-3.37, 2 Hg 3.52
Hg 0.0000 0.3258 0.8258  1 Rh 3.15, 6 Ho 3.34-3.37, 2 Hg 3.52
Hg 0.0000 0.1742 0.3258  1 Rh 3.15, 6 Ho 3.34-3.37, 2 Hg 3.52
Hg 0.0000 0.8258 0.6742  1 Rh 3.15, 6 Ho 3.34-3.37, 2 Hg 3.52
Ru 0.0000 0.0000 0.0000  8 Ho 2.95
Ru 0.0000 0.5000 0.5000  8 Ho 2.95
Rh 0.0000 0.1320 0.6320  6 Ho 2.76-2.78
Rh 0.0000 0.8680 0.3680  6 Ho 2.76-2.78
Rh 0.0000 0.6320 0.8680  6 Ho 2.76-2.78
Rh 0.0000 0.3680 0.1320  6 Ho 2.76-2.78

=====

No. 8
DFT (PBE) results for a relaxed structure of SbTeSN2.

Output
**M_tot**: 0.9 μB per formula unit
**ΔE_f (raw)**: 1.274 eV/atom
**Energy above the lowest structure with this stoichiometry**: 11 kJ/mol of formula units

Cell: 3.9645 3.9645 6.7555 Å, 90.00 90.00 90.00°
With the nearest neighbours (Å) after each atom.
Sites, in units of the cell vectors:
Sb 0.0000 0.0000 0.0000  4 N 1.98
S 0.5000 0.5000 0.5000  4 Te 2.80
Te 0.0000 0.0000 0.5000  4 S 2.80
N 0.0000 0.5000 0.0000  2 Sb 1.98
N 0.5000 0.0000 0.0000  2 Sb 1.98

=====

Taking the records one at a time from the top gives E values of -0.1141 -0.0957 -0.2069 -0.1055 -0.2616 -0.1958 -0.1935 -0.1593 hartree per atom.